Dy3FeB7 | meta-GGA SCAN | PBEsol geometry

Geometry as POSCAR:
```
Dy3FeB7
1.0
1.687 -7.784 0.000
1.687 7.784 0.000
0.000 0.000 9.228
Dy Fe B
6 2 14
direct
0.105 0.895 0.560
0.105 0.895 0.940
0.243 0.757 0.250
0.757 0.243 0.750
0.895 0.105 0.060
0.895 0.105 0.440
0.054 0.946 0.250
0.946 0.054 0.750
0.272 0.728 0.532
0.272 0.728 0.968
0.370 0.630 0.653
0.370 0.630 0.847
0.460 0.540 0.250
0.478 0.522 0.598
0.478 0.522 0.902
0.522 0.478 0.098
0.522 0.478 0.402
0.540 0.460 0.750
0.630 0.370 0.153
0.630 0.370 0.347
0.728 0.272 0.032
0.728 0.272 0.468
```

Results
Total DFT energy (no corrections) ... -20.049 eV per atom

DyFe3B4O12 | meta-GGA SCAN | PBEsol geometry

Geometry as POSCAR:
```
DyFe3B4O12
1.0
4.652 2.686 2.391
-4.652 2.686 2.391
0.000 -5.372 2.391
Dy Fe B O
1 3 4 12
direct
0.000 0.000 0.000
0.000 0.561 0.439
0.439 0.000 0.561
0.561 0.439 0.000
0.062 0.500 0.938
0.500 0.500 0.500
0.500 0.938 0.062
0.938 0.062 0.500
0.031 0.633 0.779
0.087 0.913 0.500
0.221 0.367 0.969
0.351 0.649 0.500
0.367 0.969 0.221
0.500 0.087 0.913
0.500 0.351 0.649
0.633 0.779 0.031
0.649 0.500 0.351
0.779 0.031 0.633
0.913 0.500 0.087
0.969 0.221 0.367
```

Results
Raw formation energy ... -2362 meV/atom
E above lowest polymorph ... 4.7 kJ per mole of atoms

DyFe3B4O12 | meta-GGA SCAN | PBEsol geometry

Geometry as POSCAR:
```
DyFe3B4O12
1.0
9.433 0.000 0.000
-4.717 8.169 0.000
0.000 0.000 7.382
Dy Fe B O
3 9 12 36
direct
0.000 0.658 0.167
0.342 0.342 0.500
0.658 0.000 0.833
0.000 0.106 0.167
0.106 0.000 0.833
0.213 0.551 0.848
0.338 0.787 0.515
0.449 0.662 0.181
0.551 0.213 0.152
0.662 0.449 0.819
0.787 0.338 0.485
0.894 0.894 0.500
0.000 0.221 0.667
0.000 0.675 0.667
0.126 0.439 0.351
0.221 0.000 0.333
0.313 0.874 0.018
0.325 0.325 0.000
0.439 0.126 0.649
0.561 0.687 0.684
0.675 0.000 0.333
0.687 0.561 0.316
0.779 0.779 0.000
0.874 0.313 0.982
0.000 0.073 0.667
0.000 0.824 0.667
0.003 0.469 0.980
0.073 0.000 0.333
0.120 0.293 0.314
0.146 0.678 0.682
0.149 0.360 0.689
0.173 0.880 0.981
0.176 0.176 0.000
0.211 0.851 0.356
0.282 0.566 0.394
0.284 0.718 0.061
0.293 0.120 0.686
0.322 0.468 0.015
0.360 0.149 0.311
0.434 0.716 0.727
0.466 0.997 0.646
0.468 0.322 0.985
0.469 0.003 0.020
0.531 0.534 0.313
0.532 0.854 0.348
0.534 0.531 0.687
0.566 0.282 0.606
0.640 0.789 0.023
0.678 0.146 0.318
0.707 0.827 0.648
0.716 0.434 0.273
0.718 0.284 0.939
0.789 0.640 0.977
0.824 0.000 0.333
0.827 0.707 0.352
0.851 0.211 0.644
0.854 0.532 0.652
0.880 0.173 0.019
0.927 0.927 0.000
0.997 0.466 0.354
```

Results
Raw formation energy ... -2411 meV/atom
E above lowest polymorph ... 0.0 kJ per mole of atoms

Dy3B7Mo | meta-GGA SCAN | PBEsol geometry

Geometry as POSCAR:
```
Dy3B7Mo
1.0
1.717 -7.934 0.000
1.717 7.934 0.000
0.000 0.000 9.411
Dy B Mo
6 14 2
direct
0.107 0.893 0.560
0.107 0.893 0.940
0.244 0.756 0.250
0.756 0.244 0.750
0.893 0.107 0.060
0.893 0.107 0.440
0.272 0.728 0.532
0.272 0.728 0.968
0.365 0.635 0.648
0.365 0.635 0.852
0.456 0.544 0.250
0.480 0.520 0.592
0.480 0.520 0.908
0.520 0.480 0.092
0.520 0.480 0.408
0.544 0.456 0.750
0.635 0.365 0.148
0.635 0.365 0.352
0.728 0.272 0.032
0.728 0.272 0.468
0.053 0.947 0.250
0.947 0.053 0.750
```

Results
Total DFT energy (no corrections) ... -21.581 eV per atom

Na2Dy2B2TeO10 | meta-GGA SCAN | PBEsol geometry

Geometry as POSCAR:
```
Na2Dy2B2TeO10
1.0
6.306 0.000 0.000
0.000 9.925 0.000
-1.609 0.000 6.525
Na Dy B Te O
4 4 4 2 20
direct
0.086 0.112 0.169
0.086 0.388 0.669
0.914 0.612 0.331
0.914 0.888 0.831
0.374 0.667 0.977
0.374 0.833 0.477
0.626 0.167 0.523
0.626 0.333 0.023
0.163 0.098 0.628
0.163 0.402 0.128
0.837 0.598 0.872
0.837 0.902 0.372
0.500 0.000 0.000
0.500 0.500 0.500
0.020 0.671 0.945
0.020 0.829 0.445
0.207 0.060 0.838
0.207 0.440 0.338
0.303 0.060 0.510
0.303 0.440 0.010
0.340 0.618 0.636
0.340 0.882 0.136
0.491 0.151 0.178
0.491 0.349 0.678
0.509 0.651 0.322
0.509 0.849 0.822
0.660 0.118 0.864
0.660 0.382 0.364
0.697 0.560 0.990
0.697 0.940 0.490
0.793 0.560 0.662
0.793 0.940 0.162
0.980 0.171 0.555
0.980 0.329 0.055
```

Results
Raw formation energy ... -2680 meV/atom

DyNi2B2 | meta-GGA SCAN | PBEsol geometry

Geometry as POSCAR:
```
DyNi2B2
1.0
4.166 -2.600 0.000
4.166 2.600 0.000
-4.091 0.000 5.418
Dy Ni B
2 4 4
direct
0.120 0.880 0.750
0.880 0.120 0.250
0.278 0.468 0.300
0.468 0.278 0.800
0.532 0.722 0.200
0.722 0.532 0.700
0.156 0.505 0.976
0.495 0.844 0.524
0.505 0.156 0.476
0.844 0.495 0.024
```

Results
Total DFT energy (no corrections) ... -19.605 eV per atom

DyNi12B6 | meta-GGA SCAN | PBEsol geometry

Geometry as POSCAR:
```
DyNi12B6
1.0
4.715 -3.637 0.000
4.715 3.637 0.000
0.000 0.000 10.841
Dy Ni B
2 24 12
direct
0.167 0.833 0.500
0.833 0.167 0.000
0.003 0.631 0.058
0.119 0.144 0.242
0.144 0.119 0.742
0.196 0.544 0.262
0.211 0.527 0.719
0.216 0.784 0.898
0.269 0.342 0.928
0.342 0.269 0.428
0.369 0.997 0.058
0.436 0.564 0.076
0.456 0.804 0.262
0.473 0.789 0.719
0.527 0.211 0.219
0.544 0.196 0.762
0.564 0.436 0.576
0.631 0.003 0.558
0.658 0.731 0.928
0.731 0.658 0.428
0.784 0.216 0.398
0.789 0.473 0.219
0.804 0.456 0.762
0.856 0.881 0.242
0.881 0.856 0.742
0.997 0.369 0.558
0.012 0.403 0.373
0.164 0.836 0.156
0.239 0.327 0.111
0.327 0.239 0.611
0.403 0.012 0.873
0.487 0.513 0.842
0.513 0.487 0.342
0.597 0.988 0.373
0.673 0.761 0.111
0.761 0.673 0.611
0.836 0.164 0.656
0.988 0.597 0.873
```

Results
Total DFT energy (no corrections) ... -15.486 eV per atom

Dy3Ni19B10 | meta-GGA SCAN | PBEsol geometry

Geometry as POSCAR:
```
Dy3Ni19B10
1.0
6.504 -4.307 0.000
6.504 4.307 0.000
-0.145 0.000 5.699
Dy Ni B
3 19 10
direct
0.000 0.000 0.000
0.374 0.374 0.613
0.626 0.626 0.387
0.000 0.000 0.500
0.045 0.517 0.302
0.122 0.623 0.926
0.162 0.162 0.703
0.183 0.183 0.270
0.229 0.711 0.301
0.289 0.771 0.699
0.377 0.878 0.074
0.378 0.378 0.127
0.483 0.955 0.698
0.517 0.045 0.302
0.622 0.622 0.873
0.623 0.122 0.926
0.711 0.229 0.301
0.771 0.289 0.699
0.817 0.817 0.730
0.838 0.838 0.297
0.878 0.377 0.074
0.955 0.483 0.698
0.064 0.700 0.570
0.141 0.351 0.974
0.300 0.936 0.430
0.351 0.141 0.974
0.384 0.616 0.000
0.616 0.384 0.000
0.649 0.859 0.026
0.700 0.064 0.570
0.859 0.649 0.026
0.936 0.300 0.430
```

Results
Total DFT energy (no corrections) ... -16.861 eV per atom

DyNiB4 | meta-GGA SCAN | PBEsol geometry

Geometry as POSCAR:
```
DyNiB4
1.0
-3.728 3.728 4.229
3.728 -3.728 4.229
3.728 3.728 -4.229
Dy Ni B
4 4 16
direct
0.202 0.202 0.000
0.250 0.750 0.500
0.750 0.250 0.500
0.798 0.798 0.000
0.272 0.500 0.772
0.500 0.272 0.772
0.500 0.728 0.228
0.728 0.500 0.228
0.112 0.276 0.388
0.112 0.724 0.835
0.115 0.115 0.536
0.115 0.579 0.000
0.276 0.112 0.388
0.276 0.888 0.165
0.421 0.421 0.536
0.421 0.885 0.000
0.579 0.115 0.000
0.579 0.579 0.464
0.724 0.112 0.835
0.724 0.888 0.612
0.885 0.421 0.000
0.885 0.885 0.464
0.888 0.276 0.165
0.888 0.724 0.612
```

Results
Total DFT energy (no corrections) ... -16.257 eV per atom

DyBO3 | meta-GGA SCAN | PBEsol geometry

Geometry as POSCAR:
```
DyBO3
1.0
8.499 0.000 0.000
0.000 3.208 2.130
0.000 -3.208 2.130
Dy B O
2 2 6
direct
0.000 0.000 0.000
0.500 0.000 0.000
0.250 0.570 0.298
0.750 0.298 0.570
0.103 0.737 0.397
0.250 0.197 0.062
0.397 0.737 0.397
0.603 0.397 0.737
0.750 0.062 0.197
0.897 0.397 0.737
```

Results
Raw formation energy ... -3330 meV/atom

Dy4B6O15 | meta-GGA SCAN | PBEsol geometry

Geometry as POSCAR:
```
Dy4B6O15
1.0
5.821 -2.177 0.000
5.821 2.177 0.000
-2.129 0.000 18.575
Dy B O
8 12 30
direct
0.068 0.663 0.900
0.077 0.650 0.696
0.337 0.932 0.600
0.350 0.923 0.804
0.650 0.077 0.196
0.663 0.068 0.400
0.923 0.350 0.304
0.932 0.337 0.100
0.021 0.641 0.525
0.200 0.608 0.087
0.202 0.663 0.305
0.337 0.798 0.195
0.359 0.979 0.975
0.392 0.800 0.413
0.608 0.200 0.587
0.641 0.021 0.025
0.663 0.202 0.805
0.798 0.337 0.695
0.800 0.392 0.913
0.979 0.359 0.475
0.005 0.251 0.979
0.052 0.311 0.704
0.084 0.558 0.139
0.086 0.494 0.450
0.130 0.870 0.250
0.160 0.810 0.379
0.190 0.840 0.121
0.251 0.005 0.479
0.287 0.546 0.570
0.311 0.052 0.204
0.337 0.533 0.803
0.442 0.916 0.361
0.454 0.713 0.930
0.467 0.663 0.697
0.494 0.086 0.950
0.506 0.914 0.050
0.533 0.337 0.303
0.546 0.287 0.070
0.558 0.084 0.639
0.663 0.467 0.197
0.689 0.948 0.796
0.713 0.454 0.430
0.749 0.995 0.521
0.810 0.160 0.879
0.840 0.190 0.621
0.870 0.130 0.750
0.914 0.506 0.550
0.916 0.442 0.861
0.948 0.689 0.296
0.995 0.749 0.021
```

Results
Raw formation energy ... -3243 meV/atom